The following is a PBE+U calculation of crystalline VCuO2 at its relaxed geometry, from the Alexandria database.

Properties
Energy ... -6.780 eV/atom

a b c (Å): 5.5667 3.0547 5.5223
angles (deg): 90.00 99.63 90.00
Last column: nearest neighbours and their distance in Å.
Fractional positions:
V: 0.0000 0.2433 0.2500  6 O 2.04-2.11
V: 0.0000 0.7567 0.7500  6 O 2.04-2.11
Cu: 0.5000 0.5000 0.0000  2 O 1.88
Cu: 0.5000 0.5000 0.5000  2 O 1.88
O: 0.1851 0.2602 0.9473  1 Cu 1.88, 2 V 2.04-2.06
O: 0.1851 0.7398 0.4473  1 Cu 1.88, 2 V 2.04-2.06
O: 0.8149 0.2602 0.5527  1 Cu 1.88, 2 V 2.04-2.06
O: 0.8149 0.7398 0.0527  1 Cu 1.88, 2 V 2.04-2.06